VASP calculation (PBE-GGA) on a relaxed KMg4Br crystal.

crystal system	cubic
space-group type	No. 216
N(E_F)	0.46	states/eV per atom
total magnetization	0.0	Bohr magnetons per cell
uncorrected formation energy	-0.0010	eV per atom

Cell lengths 6.445, 6.445, 6.445 Å; angles 60.00, 60.00, 60.00 degrees
Element x y z (fractional)
1 K 0.000 0.000 0.000
2 Mg 0.375 0.375 0.375
3 Mg 0.375 0.375 0.876
4 Mg 0.375 0.876 0.375
5 Mg 0.876 0.375 0.375
6 Br 0.750 0.750 0.750